Entry 1:
# Sm2Ho4In, optimized geometry, DFT PBE
data_Sm2Ho4In
_cell_length_a 5.757
_cell_length_b 6.652
_cell_length_c 11.530
_cell_angle_alpha 90.00
_cell_angle_beta 103.67
_cell_angle_gamma 90.00
_space_group_name_H-M_alt 'P 1 21/m 1'
_space_group_IT_number 11
loop_
_space_group_symop_operation_xyz
'x,y,z'
'-x,-y,-z'
'-x,y+1/2,-z'
'x,-y+1/2,z'
loop_
_atom_site_label
_atom_site_fract_x
_atom_site_fract_y
_atom_site_fract_z
_atom_site_occupancy
Sm1 0.035 0.250 0.475 1
Sm2 0.340 0.750 0.077 1
Ho1 0.155 0.007 0.786 1
Ho2 0.213 0.250 0.063 1
Ho3 0.396 0.750 0.374 1
In1 0.460 0.250 0.334 1
# * offset from the most stable computed form: 0.08 eV/f.u.
# * total DFT energy (no corrections): -4.39 eV/atom

---

Entry 2:
# Cs2Tl4Cl3F2, optimized geometry, DFT PBE
data_Cs2Tl4Cl3F2
_cell_length_a 5.018
_cell_length_b 5.018
_cell_length_c 31.637
_cell_angle_alpha 90.00
_cell_angle_beta 90.00
_cell_angle_gamma 90.00
_space_group_name_H-M_alt 'I 4/m m m'
_space_group_IT_number 139
_space_group_name_Hall '-I 4 2'
loop_
_atom_site_label
_atom_site_fract_x
_atom_site_fract_y
_atom_site_fract_z
_atom_site_occupancy
Cs1 0.000 0.000 0.198 1
Tl1 0.000 0.500 0.077 1
Cl1 0.000 0.000 0.311 1
Cl2 0.000 0.000 0.500 1
F1 0.000 0.000 0.105 1
# * formation energy (no corrections): -1.411 eV per atom
# * total DFT energy (no corrections): -3.27 eV/atom

---

Entry 3:
# Dy4TeRh2, optimized geometry, DFT PBE
data_Dy4TeRh2
_cell_length_a 8.494
_cell_length_b 8.494
_cell_length_c 12.038
_cell_angle_alpha 90.00
_cell_angle_beta 90.00
_cell_angle_gamma 90.00
_space_group_name_H-M_alt 'I 41/a m d'
_space_group_IT_number 141
loop_
_space_group_symop_operation_xyz
'x,y,z'
'-x,-y,-z'
'-y+1/4,x+3/4,z+1/4'
'y+1/4,-x+3/4,-z+1/4'
'-x+1/2,-y,z+1/2'
'x+1/2,y,-z+1/2'
'y+1/4,-x+1/4,z+3/4'
'-y+1/4,x+1/4,-z+3/4'
'x,-y,-z'
'-x,y,z'
'-y+1/4,-x+1/4,-z+3/4'
'y+1/4,x+1/4,z+3/4'
'-x+1/2,y,-z+1/2'
'x+1/2,-y,z+1/2'
'y+1/4,x+3/4,-z+1/4'
'-y+1/4,-x+3/4,z+1/4'
'x+1/2,y+1/2,z+1/2'
'-x+1/2,-y+1/2,-z+1/2'
'-y+3/4,x+1/4,z+3/4'
'y+3/4,-x+1/4,-z+3/4'
'-x,-y+1/2,z'
'x,y+1/2,-z'
'y+3/4,-x+3/4,z+1/4'
'-y+3/4,x+3/4,-z+1/4'
'x+1/2,-y+1/2,-z+1/2'
'-x+1/2,y+1/2,z+1/2'
'-y+3/4,-x+3/4,-z+1/4'
'y+3/4,x+3/4,z+1/4'
'-x,y+1/2,-z'
'x,-y+1/2,z'
'y+3/4,x+1/4,-z+3/4'
'-y+3/4,-x+1/4,z+3/4'
loop_
_atom_site_label
_atom_site_fract_x
_atom_site_fract_y
_atom_site_fract_z
_atom_site_occupancy
Dy1 0.000 0.038 0.269 1
Te1 0.000 0.250 0.875 1
Rh1 0.000 0.000 0.500 1
# * formation energy (no corrections): -0.778 eV per atom
# * total DFT energy (no corrections): -5.96 eV/atom

---

Entry 4:
# Tb6Y3ThSc2, optimized geometry, DFT PBE
data_Tb6Y3ThSc2
_cell_length_a 6.080
_cell_length_b 10.528
_cell_length_c 11.716
_cell_angle_alpha 90.00
_cell_angle_beta 99.96
_cell_angle_gamma 90.00
_space_group_name_H-M_alt 'C 1 2/m 1'
_space_group_IT_number 12
loop_
_space_group_symop_operation_xyz
'x,y,z'
'-x,-y,-z'
'-x,y,-z'
'x,-y,z'
'x+1/2,y+1/2,z'
'-x+1/2,-y+1/2,-z'
'-x+1/2,y+1/2,-z'
'x+1/2,-y+1/2,z'
loop_
_atom_site_label
_atom_site_fract_x
_atom_site_fract_y
_atom_site_fract_z
_atom_site_occupancy
Tb1 0.249 0.000 0.245 1
Tb2 0.249 0.334 0.245 1
Y1 0.000 0.000 0.500 1
Y2 0.000 0.333 0.500 1
Th1 0.000 0.500 0.000 1
Sc1 0.000 0.167 0.000 1
# * total DFT energy (no corrections): -5.56 eV/atom

---

Entry 5:
# Tb3ErPu3Te8, optimized geometry, DFT PBE
data_Tb3ErPu3Te8
_cell_length_a 15.223
_cell_length_b 8.766
_cell_length_c 8.794
_cell_angle_alpha 90.00
_cell_angle_beta 125.26
_cell_angle_gamma 90.00
_space_group_name_H-M_alt 'C 1 2/m 1'
_space_group_IT_number 12
loop_
_space_group_symop_operation_xyz
'x,y,z'
'-x,-y,-z'
'-x,y,-z'
'x,-y,z'
'x+1/2,y+1/2,z'
'-x+1/2,-y+1/2,-z'
'-x+1/2,y+1/2,-z'
'x+1/2,-y+1/2,z'
loop_
_atom_site_label
_atom_site_fract_x
_atom_site_fract_y
_atom_site_fract_z
_atom_site_occupancy
Tb1 0.000 0.000 0.000 1
Tb2 0.250 0.250 0.000 1
Er1 0.000 0.500 0.000 1
Pu1 0.000 0.500 0.500 1
Pu2 0.250 0.250 0.500 1
Te1 0.002 0.247 0.753 1
Te2 0.249 0.000 0.247 1
Te3 0.249 0.000 0.752 1
# * formation energy (no corrections): -1.268 eV per atom
# * total DFT energy (no corrections): -7.04 eV/atom

---

Entry 6:
# Mg7Sc3Cd2, optimized geometry, DFT PBE
data_Mg7Sc3Cd2
_cell_length_a 5.198
_cell_length_b 4.888
_cell_length_c 11.375
_cell_angle_alpha 90.00
_cell_angle_beta 91.17
_cell_angle_gamma 90.00
_space_group_name_H-M_alt 'P 1 2/m 1'
_space_group_IT_number 10
loop_
_space_group_symop_operation_xyz
'x,y,z'
'-x,-y,-z'
'-x,y,-z'
'x,-y,z'
loop_
_atom_site_label
_atom_site_fract_x
_atom_site_fract_y
_atom_site_fract_z
_atom_site_occupancy
Mg1 0.000 0.000 0.000 1
Mg2 0.041 0.500 0.164 1
Mg3 0.242 0.500 0.464 1
Mg4 0.460 0.000 0.162 1
Sc1 0.086 0.000 0.644 1
Sc2 0.500 0.500 0.000 1
Cd1 0.430 0.500 0.721 1
# * total DFT energy (no corrections): -2.60 eV/atom